Entry from Alexandria via LeMat-Bulk: a relaxed structure of Pr2CuSn4Ir3 (PBE-GGA).

Lattice parameters (Å, degrees): 4.532 4.532 10.811 90.00 90.00 90.00
Positions (direct):
Pr (0.000, 0.500, 0.249)
Pr (0.500, 0.000, 0.751)
Cu (0.000, 0.000, 0.500)
Sn (0.000, 0.000, 0.000)
Sn (0.000, 0.500, 0.628)
Sn (0.500, 0.000, 0.372)
Sn (0.500, 0.500, 0.000)
Ir (0.000, 0.500, 0.868)
Ir (0.500, 0.000, 0.132)
Ir (0.500, 0.500, 0.500)

**Calculated total energy**: -6.138 eV per atom
**Calculated formation energy**: -513 meV/atom
**ρ**: 10.4 Mg/m³
**Spin magnetization**: 0.00 μB per formula unit



Entry from Alexandria via LeMat-Bulk: a relaxed structure of Pr2CuSn3Ir4 (PBE-GGA).

Lattice parameters (Å, degrees): 4.347 4.347 11.191 90.00 90.00 90.00
Positions (direct):
Pr (0.000, 0.500, 0.243)
Pr (0.500, 0.000, 0.757)
Cu (0.500, 0.500, 0.000)
Sn (0.000, 0.000, 0.000)
Sn (0.000, 0.500, 0.633)
Sn (0.500, 0.000, 0.367)
Ir (0.000, 0.000, 0.500)
Ir (0.000, 0.500, 0.866)
Ir (0.500, 0.000, 0.134)
Ir (0.500, 0.500, 0.500)

**Calculated total energy**: -6.573 eV per atom
**Calculated formation energy**: -462 meV/atom
**ρ**: 11.5 Mg/m³
**Spin magnetization**: 0.00 μB per formula unit



Entry from Alexandria via LeMat-Bulk: a relaxed structure of PrThCuIr (PBE-GGA).

Lattice parameters (Å, degrees): 5.071 5.071 5.071 60.00 60.00 60.00
Positions (direct):
Pr (0.000, 0.000, 0.000)
Th (0.500, 0.500, 0.500)
Cu (0.750, 0.750, 0.750)
Ir (0.250, 0.250, 0.250)

**Calculated total energy**: -6.691 eV per atom
**Calculated formation energy**: -402 meV/atom
**ρ**: 11.3 Mg/m³
**Spin magnetization**: 0.00 μB per formula unit



Entry from Alexandria via LeMat-Bulk: a relaxed structure of PrTmCuIr (PBE-GGA).

Lattice parameters (Å, degrees): 4.949 4.949 4.949 60.00 60.00 60.00
Positions (direct):
Pr (0.000, 0.000, 0.000)
Tm (0.500, 0.500, 0.500)
Cu (0.250, 0.250, 0.250)
Ir (0.750, 0.750, 0.750)

**Calculated total energy**: -6.037 eV per atom
**Calculated formation energy**: -485 meV/atom
**ρ**: 11.0 Mg/m³
**Spin magnetization**: 0.00 μB per formula unit



Entry from Alexandria via LeMat-Bulk: a relaxed structure of PrYCuIr (PBE-GGA).

Lattice parameters (Å, degrees): 4.373 5.684 5.684 40.53 90.00 90.00
Positions (direct):
Pr (0.000, 0.000, 0.000)
Y (0.500, 0.279, 0.279)
Cu (0.500, 0.573, 0.573)
Ir (0.000, 0.720, 0.720)

**Calculated total energy**: -6.540 eV per atom
**Calculated formation energy**: -489 meV/atom
**ρ**: 8.8 Mg/m³
**ΔE to the lowest computed polymorph**: 0 kJ/mol of formula units
**Spin magnetization**: 0.00 μB per formula unit



Entry from Alexandria via LeMat-Bulk: a relaxed structure of PrYCuIr (PBE-GGA).

Lattice parameters (Å, degrees): 4.988 4.988 4.988 60.00 60.00 60.00
Positions (direct):
Pr (0.000, 0.000, 0.000)
Y (0.500, 0.500, 0.500)
Cu (0.250, 0.250, 0.250)
Ir (0.750, 0.750, 0.750)

**Calculated total energy**: -6.507 eV per atom
**Calculated formation energy**: -456 meV/atom
**ρ**: 9.2 Mg/m³
**ΔE to the lowest computed polymorph**: 13 kJ/mol of formula units
**Spin magnetization**: 0.00 μB per formula unit



Entry from Alexandria via LeMat-Bulk: a relaxed structure of PrZnCu2Ir (PBE-GGA).

Lattice parameters (Å, degrees): 6.257 6.257 6.257 142.63 142.25 54.17
Positions (direct):
Pr (0.000, 0.000, 0.000)
Zn (0.255, 0.755, 0.500)
Cu (0.625, 0.625, 0.000)
Cu (0.758, 0.258, 0.500)
Ir (0.401, 0.401, 0.000)

**Calculated total energy**: -4.879 eV per atom
**Calculated formation energy**: -258 meV/atom
**ρ**: 9.7 Mg/m³
**Spin magnetization**: 0.00 μB per formula unit



Entry from Alexandria via LeMat-Bulk: a relaxed structure of PrZrCuIr (PBE-GGA).

Lattice parameters (Å, degrees): 4.871 4.871 4.871 60.00 60.00 60.00
Positions (direct):
Pr (0.000, 0.000, 0.000)
Zr (0.500, 0.500, 0.500)
Cu (0.250, 0.250, 0.250)
Ir (0.750, 0.750, 0.750)

**Calculated total energy**: -6.869 eV per atom
**Calculated formation energy**: -298 meV/atom
**ρ**: 9.9 Mg/m³
**Spin magnetization**: 0.00 μB per formula unit



Entry from Alexandria via LeMat-Bulk: a relaxed structure of Cu2IrPt2 (PBE-GGA).

Lattice parameters (Å, degrees): 7.187 7.187 2.767 90.00 90.00 90.00
Positions (direct):
Cu (0.117, 0.383, 0.000)
Cu (0.383, 0.883, 0.000)
Cu (0.617, 0.117, 0.000)
Cu (0.883, 0.617, 0.000)
Ir (0.000, 0.000, 0.000)
Ir (0.500, 0.500, 0.000)
Pt (0.182, 0.682, 0.500)
Pt (0.318, 0.182, 0.500)
Pt (0.682, 0.818, 0.500)
Pt (0.818, 0.318, 0.500)

**Calculated total energy**: -5.623 eV per atom
**Calculated formation energy**: 204 meV/atom
**ρ**: 16.5 Mg/m³
**ΔE to the lowest computed polymorph**: 0 kJ/mol of formula units
**Spin magnetization**: 0.00 μB per formula unit



Entry from Alexandria via LeMat-Bulk: a relaxed structure of Cu2IrPt9 (PBE-GGA).

Lattice parameters (Å, degrees): 3.920 3.920 11.763 90.00 90.00 90.00
Positions (direct):
Cu (0.000, 0.000, 0.166)
Cu (0.000, 0.000, 0.834)
Ir (0.000, 0.000, 0.500)
Pt (0.000, 0.500, 0.000)
Pt (0.000, 0.500, 0.331)
Pt (0.000, 0.500, 0.669)
Pt (0.500, 0.000, 0.000)
Pt (0.500, 0.000, 0.331)
Pt (0.500, 0.000, 0.669)
Pt (0.500, 0.500, 0.164)
Pt (0.500, 0.500, 0.500)
Pt (0.500, 0.500, 0.836)

**Calculated total energy**: -6.003 eV per atom
**Calculated formation energy**: -51 meV/atom
**ρ**: 19.1 Mg/m³
**Spin magnetization**: 0.00 μB per formula unit



Entry from Alexandria via LeMat-Bulk: a relaxed structure of CuIr4Pt (PBE-GGA).

Lattice parameters (Å, degrees): 5.140 5.140 5.140 60.00 60.00 60.00
Positions (direct):
Cu (0.000, 0.000, 0.000)
Ir (0.125, 0.625, 0.625)
Ir (0.625, 0.125, 0.625)
Ir (0.625, 0.625, 0.125)
Ir (0.625, 0.625, 0.625)
Pt (0.250, 0.250, 0.250)

**Calculated total energy**: -6.958 eV per atom
**Calculated formation energy**: 639 meV/atom
**ρ**: 17.8 Mg/m³
**Spin magnetization**: 0.00 μB per formula unit



Entry from Alexandria via LeMat-Bulk: a relaxed structure of Cu2IrPt6 (PBE-GGA).

Lattice parameters (Å, degrees): 6.960 6.960 9.159 124.95 124.95 22.54
Positions (direct):
Cu (0.121, 0.121, 0.053)
Cu (0.879, 0.879, 0.947)
Ir (0.000, 0.000, 0.500)
Pt (0.058, 0.058, 0.270)
Pt (0.239, 0.239, 0.638)
Pt (0.348, 0.348, 0.179)
Pt (0.652, 0.652, 0.821)
Pt (0.761, 0.761, 0.362)
Pt (0.942, 0.942, 0.730)

**Calculated total energy**: -5.846 eV per atom
**Calculated formation energy**: 76 meV/atom
**ρ**: 17.9 Mg/m³
**Spin magnetization**: 0.00 μB per formula unit